Run one
VASP calculation (PBE) on a relaxed Nd2Ga6Ru crystal.

Output
Mass density, g cm⁻³: 7.57
Total magnetic moment, μB/cell: 0.00
Space-group type: P-3m1, No. 164
Volume, Å³/atom: 19.69

a b c (Å): 6.0277 6.0277 5.6302
angles (deg): 90.00 90.00 120.00
With the nearest neighbours (Å) after each atom.
Fractional positions:
Nd1 0.3333 0.6667 0.3160  12 Ga 3.10-3.28
Nd2 0.6667 0.3333 0.6840  12 Ga 3.10-3.28
Ga1 0.1734 0.3467 0.8154  1 Ru 2.54, 2 Ga 2.76
Ga2 0.1734 0.8266 0.8154  1 Ru 2.54, 2 Ga 2.76
Ga3 0.3467 0.1734 0.1846  1 Ru 2.54, 2 Ga 2.76
Ga4 0.6533 0.8266 0.8154  1 Ru 2.54, 2 Ga 2.76
Ga5 0.8266 0.1734 0.1846  1 Ru 2.54, 2 Ga 2.76
Ga6 0.8266 0.6533 0.1846  1 Ru 2.54, 2 Ga 2.76
Ru1 0.0000 0.0000 0.5000  6 Ga 2.54

***

Run two
VASP calculation (PBE) on a relaxed Nd2Ga6Ru crystal.

Output
Mass density, g cm⁻³: 7.61
Total magnetic moment, μB/cell: 0.00
Space-group type: Fm-3m, No. 225
Volume, Å³/atom: 19.59

a b c (Å): 6.2944 6.2944 6.2944
angles (deg): 60.00 60.00 60.00
With the nearest neighbours (Å) after each atom.
Fractional positions:
Nd1 0.2500 0.2500 0.2500  12 Ga 3.16
Nd2 0.7500 0.7500 0.7500  12 Ga 3.16
Ga1 0.2172 0.2172 0.7828  1 Ru 2.52, 4 Ga 2.73
Ga2 0.2172 0.7828 0.2172  1 Ru 2.52, 4 Ga 2.73
Ga3 0.2172 0.7828 0.7828  1 Ru 2.52, 4 Ga 2.73
Ga4 0.7828 0.2172 0.2172  1 Ru 2.52, 4 Ga 2.73
Ga5 0.7828 0.2172 0.7828  1 Ru 2.52, 4 Ga 2.73
Ga6 0.7828 0.7828 0.2172  1 Ru 2.52, 4 Ga 2.73
Ru1 0.5000 0.5000 0.5000  6 Ga 2.52

***

run two is favored, and the nearest alternative lies 63 meV/atom above it.

***

Run one
VASP calculation (PBE) on a relaxed NdTmGaRu crystal.

Output
Mass density, g cm⁻³: 8.69
Total magnetic moment, μB/cell: 0.00
Space-group type: Amm2, No. 38
Volume, Å³/atom: 23.13

a b c (Å): 4.3662 5.7137 5.7137
angles (deg): 40.47 90.00 90.00
With the nearest neighbours (Å) after each atom.
Fractional positions:
Nd1 0.0000 0.0000 0.0000  3 Ru 3.00-3.08, 4 Ga 3.08
Tm1 0.5000 0.7136 0.7136  3 Ga 2.92-3.21, 4 Ru 3.03
Ga1 0.5000 0.4143 0.4143  2 Ru 2.62, 2 Tm 2.92
Ru1 0.0000 0.2799 0.2799  2 Ga 2.62

***

Run two
VASP calculation (PBE) on a relaxed NdTmGaRu crystal.

Output
Mass density, g cm⁻³: 9.16
Total magnetic moment, μB/cell: 0.00
Space-group type: F-43m, No. 216
Volume, Å³/atom: 21.93

a b c (Å): 4.9874 4.9874 4.9874
angles (deg): 60.00 60.00 60.00
With the nearest neighbours (Å) after each atom.
Fractional positions:
Nd1 0.0000 0.0000 0.0000  4 Ga 3.05, 4 Ru 3.05
Tm1 0.5000 0.5000 0.5000  4 Ru 3.05, 4 Ga 3.05
Ga1 0.7500 0.7500 0.7500  4 Nd 3.05, 4 Tm 3.05
Ru1 0.2500 0.2500 0.2500  4 Nd 3.05, 4 Tm 3.05

***

run one is favored, and the nearest alternative lies 54 meV/atom above it.

***

Run one
VASP calculation (PBE) on a relaxed Nd2GaSb crystal.

Output
Mass density, g cm⁻³: 7.35
Total magnetic moment, μB/cell: 0.00
Space-group type: P4/mmm, No. 123
Volume, Å³/atom: 27.10

a b c (Å): 5.0181 5.0181 4.3049
angles (deg): 90.00 90.00 90.00
With the nearest neighbours (Å) after each atom.
Fractional positions:
Nd1 0.0000 0.5000 0.0000  4 Sb 3.31, 4 Ga 3.31, 4 Nd 3.55
Nd2 0.5000 0.0000 0.0000  4 Sb 3.31, 4 Ga 3.31, 4 Nd 3.55
Ga1 0.0000 0.0000 0.5000  8 Nd 3.31, 4 Sb 3.55
Sb1 0.5000 0.5000 0.5000  8 Nd 3.31, 4 Ga 3.55

***

Run two
VASP calculation (PBE) on a relaxed Nd2GaSb crystal.

Output
Mass density, g cm⁻³: 7.09
Total magnetic moment, μB/cell: 0.00
Space-group type: P2_1/m, No. 11
Volume, Å³/atom: 28.09

a b c (Å): 6.1879 4.2611 8.9663
angles (deg): 90.00 108.12 90.00
With the nearest neighbours (Å) after each atom.
Fractional positions:
Nd1 0.2014 0.2500 0.4278  3 Ga 3.14-3.52, 4 Sb 3.22-3.37
Nd2 0.2890 0.7500 0.0656  3 Ga 3.09-3.15, 3 Sb 3.23-3.39
Nd3 0.7110 0.2500 0.9344  3 Ga 3.09-3.15, 3 Sb 3.23-3.39
Nd4 0.7986 0.7500 0.5722  3 Ga 3.14-3.52, 4 Sb 3.22-3.37
Ga1 0.1097 0.2500 0.7959  2 Sb 2.93, 5 Nd 3.09-3.15
Ga2 0.8903 0.7500 0.2041  2 Sb 2.93, 5 Nd 3.09-3.15
Sb1 0.3716 0.7500 0.7086  2 Ga 2.93, 5 Nd 3.22-3.24
Sb2 0.6284 0.2500 0.2914  2 Ga 2.93, 5 Nd 3.22-3.24

***

Run three
VASP calculation (PBE) on a relaxed Nd2GaSb crystal.

Output
Mass density, g cm⁻³: 6.46
Total magnetic moment, μB/cell: 0.00
Space-group type: R-3m, No. 166
Volume, Å³/atom: 30.84

a b c (Å): 8.0412 8.0412 8.0412
angles (deg): 31.14 31.14 31.14
With the nearest neighbours (Å) after each atom.
Fractional positions:
Nd1 0.2491 0.2491 0.2491  3 Sb 3.13, 3 Ga 3.15
Nd2 0.7509 0.7509 0.7509  3 Sb 3.13, 3 Ga 3.15
Ga1 0.0000 0.0000 0.0000  6 Nd 3.15
Sb1 0.5000 0.5000 0.5000  6 Nd 3.13

***

run two is favored, and the nearest alternative lies 123 meV/atom above it.

***

Run one
VASP calculation (PBE) on a relaxed NdScGa6 crystal.

Output
Mass density, g cm⁻³: 6.52
Total magnetic moment, μB/cell: 0.00
Space-group type: P-6m2, No. 187
Volume, Å³/atom: 19.33

a b c (Å): 6.2449 6.2449 4.5764
angles (deg): 90.00 90.00 120.00
With the nearest neighbours (Å) after each atom.
Fractional positions:
Nd1 0.0000 0.0000 0.0000  12 Ga 3.07-3.13
Sc1 0.3333 0.6667 0.5000  12 Ga 3.00-3.13
Ga1 0.3788 0.1894 0.5000  6 Ga 2.70-2.80
Ga2 0.5127 0.0254 0.0000  6 Ga 2.80-2.88, 2 Sc 3.00, 2 Nd 3.13
Ga3 0.5127 0.4873 0.0000  6 Ga 2.80-2.88, 2 Sc 3.00, 2 Nd 3.13
Ga4 0.8106 0.1894 0.5000  6 Ga 2.70-2.80
Ga5 0.8106 0.6212 0.5000  6 Ga 2.70-2.80
Ga6 0.9746 0.4873 0.0000  6 Ga 2.80-2.88, 2 Sc 3.00, 2 Nd 3.13

***

Run two
VASP calculation (PBE) on a relaxed NdScGa6 crystal.

Output
Mass density, g cm⁻³: 6.55
Total magnetic moment, μB/cell: 0.00
Space-group type: P4/mmm, No. 123
Volume, Å³/atom: 19.24

a b c (Å): 4.2611 4.2611 8.4770
angles (deg): 90.00 90.00 90.00
With the nearest neighbours (Å) after each atom.
Fractional positions:
Nd1 0.0000 0.0000 0.0000  12 Ga 3.01-3.09
Sc1 0.0000 0.0000 0.5000  12 Ga 2.92-3.01
Ga1 0.0000 0.5000 0.2645  2 Sc 2.92, 8 Ga 2.92-3.09, 2 Nd 3.09
Ga2 0.0000 0.5000 0.7355  8 Ga 2.92-3.09, 2 Sc 2.92, 2 Nd 3.09
Ga3 0.5000 0.0000 0.2645  2 Sc 2.92, 8 Ga 2.92-3.09, 2 Nd 3.09
Ga4 0.5000 0.0000 0.7355  8 Ga 2.92-3.09, 2 Sc 2.92, 2 Nd 3.09
Ga5 0.5000 0.5000 0.0000  4 Nd 3.01, 8 Ga 3.09
Ga6 0.5000 0.5000 0.5000  8 Ga 2.92, 4 Sc 3.01

***

run two is favored, and the nearest alternative lies 23 meV/atom above it.

***

Run one
VASP calculation (PBE) on a relaxed NdScGa4 crystal.

Output
Mass density, g cm⁻³: 6.03
Total magnetic moment, μB/cell: 0.00
Space-group type: Pbam, No. 55
Volume, Å³/atom: 21.49

a b c (Å): 8.1244 15.4629 4.1052
angles (deg): 90.00 90.00 90.00
With the nearest neighbours (Å) after each atom.
Fractional positions:
Nd1 0.1296 0.1457 0.0000  12 Ga 3.24-3.57
Nd2 0.3704 0.6457 0.0000  12 Ga 3.24-3.57
Nd3 0.6296 0.3543 0.0000  12 Ga 3.24-3.57
Nd4 0.8704 0.8543 0.0000  12 Ga 3.24-3.57
Sc1 0.1287 0.4172 0.0000  10 Ga 2.91-2.95
Sc2 0.3713 0.9172 0.0000  10 Ga 2.91-2.95
Sc3 0.6287 0.0828 0.0000  10 Ga 2.91-2.95
Sc4 0.8713 0.5828 0.0000  10 Ga 2.91-2.95
Ga1 0.0065 0.7005 0.5000  3 Ga 2.37-2.47
Ga2 0.1181 0.5530 0.5000  3 Ga 2.44-2.52
Ga3 0.1301 0.9673 0.5000  3 Ga 2.34-2.45
Ga4 0.2032 0.8133 0.5000  3 Ga 2.37-2.47
Ga5 0.2968 0.3133 0.5000  3 Ga 2.37-2.47
Ga6 0.3699 0.4673 0.5000  3 Ga 2.34-2.45
Ga7 0.3819 0.0530 0.5000  3 Ga 2.44-2.52
Ga8 0.4935 0.2005 0.5000  3 Ga 2.37-2.47
Ga9 0.5065 0.7995 0.5000  3 Ga 2.37-2.47
Ga10 0.6181 0.9470 0.5000  3 Ga 2.44-2.52
Ga11 0.6301 0.5327 0.5000  3 Ga 2.34-2.45
Ga12 0.7032 0.6867 0.5000  3 Ga 2.37-2.47
Ga13 0.7968 0.1867 0.5000  3 Ga 2.37-2.47
Ga14 0.8699 0.0327 0.5000  3 Ga 2.34-2.45
Ga15 0.8819 0.4470 0.5000  3 Ga 2.44-2.52
Ga16 0.9935 0.2995 0.5000  3 Ga 2.37-2.47

***

Run two
VASP calculation (PBE) on a relaxed NdScGa4 crystal.

Output
Mass density, g cm⁻³: 6.22
Total magnetic moment, μB/cell: 0.00
Space-group type: Immm, No. 71
Volume, Å³/atom: 20.84

a b c (Å): 5.8515 5.8515 5.8515
angles (deg): 137.80 102.13 92.81
With the nearest neighbours (Å) after each atom.
Fractional positions:
Nd1 0.0000 0.0000 0.0000  12 Ga 3.13-3.21
Sc1 0.5000 0.5000 0.0000  12 Ga 3.11-3.23
Ga1 0.0945 0.7602 0.3343  3 Ga 2.44-2.45
Ga2 0.4259 0.7602 0.6657  3 Ga 2.44-2.45
Ga3 0.5741 0.2398 0.3343  3 Ga 2.44-2.45
Ga4 0.9055 0.2398 0.6657  3 Ga 2.44-2.45

***

run two is favored, and the nearest alternative lies 55 meV/atom above it.